[1]
SrZn3S: optimized geometry, PBE-GGA. Values from VASP.

Cell and atoms, written as Quantum ESPRESSO input:
```
&SYSTEM
  ibrav = 0, nat = 5, ntyp = 3
/
ATOMIC_SPECIES
Sr 87.62 Sr.upf
Zn 65.41 Zn.upf
S 32.06 S.upf
CELL_PARAMETERS angstrom
-1.2967 1.1626 4.6956
-1.7027 -4.6600 0.6835
4.5278 -1.4194 1.6018
ATOMIC_POSITIONS crystal
Sr 0.5000 0.5000 0.5000
Zn 0.0000 0.5000 0.0000
Zn 0.0000 0.0000 0.5000
Zn 0.5000 0.0000 0.0000
S 0.0000 0.0000 0.0000
```

## Properties
- Polymorph energy (0 for the lowest one): 0.00 eV/f.u.
- M_tot: 0.000 μB per atom
- SG: Pm-3m, No. 221
- Volume: 125.6 Å³/cell
- Raw formation energy: 0.12 eV per atom
- DFT total energy: -9.032 eV per cell

***

[2]
Sr2ScInPd: optimized geometry, PBE-GGA. Values from VASP.

Cell and atoms, written as Quantum ESPRESSO input:
```
&SYSTEM
  ibrav = 0, nat = 5, ntyp = 4
/
ATOMIC_SPECIES
Sc 44.96 Sc.upf
Sr 87.62 Sr.upf
Pd 106.42 Pd.upf
In 114.82 In.upf
CELL_PARAMETERS angstrom
5.7237 0.0000 0.0000
0.0000 5.2579 0.0000
0.0000 0.0000 5.7237
ATOMIC_POSITIONS crystal
Sc 0.5000 0.5000 0.5000
Sr 0.0000 0.0000 0.5000
Sr 0.5000 0.0000 0.0000
Pd 0.0000 0.0000 0.0000
In 0.0000 0.5000 0.0000
```

## Properties
- M_tot: 0.000 μB per atom
- SG: P4/mmm, No. 123
- Volume: 172.3 Å³/cell
- DFT total energy: -17.779 eV per cell
- Calculated formation energy: -0.031 eV/atom

***

[3]
CaTaP: optimized geometry, PBE-GGA. Values from VASP.

Cell and atoms, written as Quantum ESPRESSO input:
```
&SYSTEM
  ibrav = 0, nat = 6, ntyp = 3
/
ATOMIC_SPECIES
Ca 40.08 Ca.upf
P 30.97 P.upf
Ta 180.95 Ta.upf
CELL_PARAMETERS angstrom
-0.3432 3.8584 -0.8481
-3.9108 -0.4522 -0.4746
-1.0944 1.5585 7.5335
ATOMIC_POSITIONS crystal
Ca 0.0000 0.5000 0.8533
Ca 0.5000 0.0000 0.1467
P 0.0000 0.5000 0.2740
P 0.5000 0.0000 0.7260
Ta 0.5000 0.5000 0.5000
Ta 0.0000 0.0000 0.5000
```

## Properties
- M_tot: 0.126 μB per atom
- SG: P4/nmm, No. 129
- Volume: 122.2 Å³/cell
- DFT total energy: -42.861 eV per cell
- Calculated formation energy: -0.722 eV/atom

***

[4]
Ti3NiRh: optimized geometry, PBE-GGA. Values from VASP.

Cell and atoms, written as Quantum ESPRESSO input:
```
&SYSTEM
  ibrav = 0, nat = 5, ntyp = 3
/
ATOMIC_SPECIES
Ni 58.69 Ni.upf
Rh 102.91 Rh.upf
Ti 47.87 Ti.upf
CELL_PARAMETERS angstrom
4.4494 0.0000 0.0000
0.0000 4.4494 0.0000
0.0000 0.0000 4.4494
ATOMIC_POSITIONS crystal
Ni 0.0000 0.0000 0.0000
Rh 0.5000 0.5000 0.5000
Ti 0.0000 0.5000 0.0000
Ti 0.0000 0.0000 0.5000
Ti 0.5000 0.0000 0.0000
```

## Properties
- Polymorph energy (0 for the lowest one): 2.84 eV/f.u.
- M_tot: 0.000 μB per atom
- SG: Pm-3m, No. 221
- Volume: 88.1 Å³/cell
- DFT total energy: -35.259 eV per cell
- Calculated formation energy: 0.312 eV/atom

***

[5]
MgB2Pt8: optimized geometry, PBE-GGA. Values from VASP.

Cell and atoms, written as Quantum ESPRESSO input:
```
&SYSTEM
  ibrav = 0, nat = 11, ntyp = 3
/
ATOMIC_SPECIES
Mg 24.30 Mg.upf
B 10.81 B.upf
Pt 195.08 Pt.upf
CELL_PARAMETERS angstrom
-0.1737 1.7573 -3.6478
2.6342 -5.6633 -1.7994
-6.3607 -1.0208 0.8656
ATOMIC_POSITIONS crystal
Mg 0.5000 0.0000 0.0000
B 0.0000 0.3351 0.6649
B 0.0000 0.6649 0.3351
Pt 0.9119 0.9478 0.6797
Pt 0.9119 0.6797 0.9478
Pt 0.3027 0.6255 0.6255
Pt 0.5000 0.7364 0.2636
Pt 0.5000 0.2636 0.7364
Pt 0.6973 0.3745 0.3745
Pt 0.0881 0.3203 0.0522
Pt 0.0881 0.0522 0.3203
```

## Properties
- M_tot: 0.000 μB per atom
- SG: C2/m, No. 12
- Volume: 158.5 Å³/cell
- DFT total energy: -66.238 eV per cell
- Calculated formation energy: -0.269 eV/atom

***

[6]
Mg2H4Ru: optimized geometry, PBE-GGA. Values from VASP.

Cell and atoms, written as Quantum ESPRESSO input:
```
&SYSTEM
  ibrav = 0, nat = 14, ntyp = 3
/
ATOMIC_SPECIES
Mg 24.30 Mg.upf
H 1.01 H.upf
Ru 101.07 Ru.upf
CELL_PARAMETERS angstrom
-1.1163 -2.3022 4.8203
0.4915 -4.4290 -3.1503
4.6847 -0.1880 0.9951
ATOMIC_POSITIONS crystal
Mg 0.3526 0.0698 0.2500
Mg 0.0698 0.3526 0.7500
Mg 0.6474 0.9302 0.7500
Mg 0.9302 0.6474 0.2500
H 0.1320 0.3539 0.2500
H 0.3539 0.1320 0.7500
H 0.8680 0.6461 0.7500
H 0.6461 0.8680 0.2500
H 0.7209 0.2791 0.0146
H 0.2791 0.7209 0.9854
H 0.7209 0.2791 0.4854
H 0.2791 0.7209 0.5146
Ru 0.8684 0.1316 0.2500
Ru 0.1316 0.8684 0.7500
```

## Properties
- Polymorph energy (0 for the lowest one): 0.00 eV/f.u.
- M_tot: 0.000 μB per atom
- SG: Cmcm, No. 63
- Volume: 140.2 Å³/cell
- DFT total energy: -56.705 eV per cell

***

[7]
Re3Tc2Ir: optimized geometry, PBE-GGA. Values from VASP.

Cell and atoms, written as Quantum ESPRESSO input:
```
&SYSTEM
  ibrav = 0, nat = 12, ntyp = 3
/
ATOMIC_SPECIES
Re 186.21 Re.upf
Tc 98.00 Tc.upf
Ir 192.22 Ir.upf
CELL_PARAMETERS angstrom
2.6518 -0.6831 -0.2007
-2.4198 7.6960 -1.7844
1.7323 -1.6236 9.6495
ATOMIC_POSITIONS crystal
Re 0.6234 0.7066 0.3744
Re 0.1264 0.2085 0.8742
Re 0.8703 0.4556 0.1252
Re 0.3766 0.2934 0.6256
Re 0.1297 0.5444 0.8748
Re 0.8736 0.7915 0.1258
Tc 0.6277 0.3753 0.3726
Tc 0.3723 0.6247 0.6274
Tc 0.8761 0.1271 0.1268
Tc 0.1239 0.8729 0.8732
Ir 0.6263 0.0417 0.3746
Ir 0.3737 0.9583 0.6254
```

## Properties
- M_tot: 0.000 μB per atom
- SG: P-1, No. 2
- Volume: 177.3 Å³/cell
- DFT total energy: -133.990 eV per cell
- Calculated formation energy: -0.010 eV/atom

***

[8]
Ni7Sn2AsH2: optimized geometry, PBE-GGA. Values from VASP.

Cell and atoms, written as Quantum ESPRESSO input:
```
&SYSTEM
  ibrav = 0, nat = 12, ntyp = 4
/
ATOMIC_SPECIES
Ni 58.69 Ni.upf
Sn 118.71 Sn.upf
As 74.92 As.upf
H 1.01 H.upf
CELL_PARAMETERS angstrom
-2.2463 -2.6289 -1.3213
2.1147 -2.5919 1.5853
-5.6636 -2.0575 8.5235
ATOMIC_POSITIONS crystal
Ni 0.5000 0.5000 0.0000
Ni 0.3257 0.3257 0.3485
Ni 0.6743 0.6743 0.6515
Ni 0.9137 0.4140 0.1745
Ni 0.4140 0.9137 0.1745
Ni 0.5860 0.0863 0.8255
Ni 0.0863 0.5860 0.8255
Sn 0.8044 0.8044 0.3913
Sn 0.1956 0.1956 0.6087
As 0.0000 0.0000 0.0000
H 0.5877 0.5877 0.8243
H 0.4123 0.4123 0.1757
```

## Properties
- M_tot: 0.000 μB per atom
- SG: C2/m, No. 12
- Volume: 138.4 Å³/cell
- DFT total energy: -61.658 eV per cell